This record from Alexandria describes a relaxed structure of ReTc2Rh. The functional is GGA-PBE.

abc: 9.1127 2.7205 4.7702
angles: 90.00 99.84 90.00
Closest atoms and distances in Å follow each position.
Space group C2/m (No. 12)
One atom of each set of equivalent atoms:
Re 0.0000 0.0000 0.0000 x2  2 Re 2.72, 6 Tc 2.74-2.75, 4 Rh 2.75
Tc 0.2492 0.5000 0.2479 x4  6 Tc 2.72-2.76, 3 Re 2.74-2.75, 3 Rh 2.75
Rh 0.0000 0.5000 0.5000 x2  2 Rh 2.72, 6 Tc 2.75, 4 Re 2.75

Computed properties:
DFT formation energy ... 0.1 kcal/mol of atoms
Volume ... 14.6 Å³/atom
Relative energy among the computed polymorphs ... 47 meV per atom
Spin magnetization ... 0.00 μB per formula unit
E_tot ... -10.13 eV/atom

---

This record from Alexandria describes a relaxed structure of Re2TcRh. The functional is GGA-PBE.

abc: 2.7290 3.9160 5.5013
angles: 90.00 90.00 90.00
Closest atoms and distances in Å follow each position.
Space group Pmm2 (No. 25)
One atom of each set of equivalent atoms:
Re 0.0000 0.0000 0.0000 x1  4 Tc 2.72, 6 Re 2.73-2.75, 2 Rh 2.73-2.77
Re 0.5000 0.5000 0.2495 x1  2 Tc 2.68-2.82, 6 Re 2.73-2.75, 4 Rh 2.77
Tc 0.5000 0.5000 0.7618 x1  6 Re 2.68-2.82, 2 Tc 2.73, 4 Rh 2.78
Rh 0.0000 0.0000 0.5034 x1  2 Rh 2.73, 6 Re 2.73-2.77, 4 Tc 2.78

Computed properties:
DFT formation energy ... -0.1 kcal/mol of atoms
Volume ... 14.7 Å³/atom
Relative energy among the computed polymorphs ... 38 meV per atom
Spin magnetization ... 0.00 μB per formula unit
E_tot ... -10.66 eV/atom